Computed, not measured: a relaxed structure of Tl2BAsSe4 at the PBE level of DFT.

abc: 5.982 5.995 7.569
angles: 74.89 68.44 62.44
Fractional positions:
Tl: 0.000 0.000 0.000
Tl: 0.340 0.261 0.198
B: 0.821 0.730 0.710
As: 0.559 0.403 0.499
Se: 0.170 0.472 0.784
Se: 0.574 0.721 0.978
Se: 0.745 0.704 0.471
Se: 0.916 0.044 0.606

Results
formation energy from raw total energies	-0.215	eV/atom

=====

Computed, not measured: a relaxed structure of TlBAsSe2 at the PBE level of DFT.

abc: 5.442 5.442 5.338
angles: 90.00 90.00 90.00
Fractional positions:
Tl: 0.000 0.000 0.000
B: 0.500 0.500 0.500
As: 0.000 0.000 0.500
Se: 0.000 0.500 0.000
Se: 0.500 0.000 0.000

Results
N(E_F)	3.5	states/eV/f.u.
offset from the most stable computed form	5.77	eV/f.u.
formation energy from raw total energies	1.687	eV/atom

=====

Computed, not measured: a relaxed structure of VBAsSe2 at the PBE level of DFT.

abc: 4.526 4.526 4.165
angles: 90.00 90.00 90.00
Fractional positions:
V: 0.000 0.000 0.000
B: 0.500 0.500 0.500
As: 0.500 0.500 0.000
Se: 0.000 0.500 0.500
Se: 0.500 0.000 0.500

Results
N(E_F)	4.1	states/eV/f.u.
offset from the most stable computed form	0.00	eV/f.u.
formation energy from raw total energies	0.853	eV/atom

=====

Computed, not measured: a relaxed structure of VBAsSe2 at the PBE level of DFT.

abc: 4.764 4.764 4.796
angles: 90.00 90.00 90.00
Fractional positions:
V: 0.000 0.000 0.000
B: 0.500 0.500 0.500
As: 0.000 0.000 0.500
Se: 0.000 0.500 0.000
Se: 0.500 0.000 0.000

Results
N(E_F)	3.3	states/eV/f.u.
offset from the most stable computed form	0.44	eV/f.u.
formation energy from raw total energies	0.941	eV/atom

=====

Computed, not measured: a relaxed structure of BAs2WSe at the PBE level of DFT.

abc: 4.312 4.312 4.324
angles: 90.00 90.00 90.00
Fractional positions:
B: 0.000 0.000 0.000
As: 0.000 0.500 0.000
As: 0.500 0.000 0.000
W: 0.500 0.500 0.500
Se: 0.000 0.000 0.500

Results
N(E_F)	4.1	states/eV/f.u.
offset from the most stable computed form	0.00	eV/f.u.
formation energy from raw total energies	1.197	eV/atom

=====

Computed, not measured: a relaxed structure of BAs2WSe at the PBE level of DFT.

abc: 4.927 4.927 4.864
angles: 90.00 90.00 90.00
Fractional positions:
B: 0.000 0.000 0.000
As: 0.000 0.500 0.500
As: 0.500 0.000 0.500
W: 0.500 0.500 0.500
Se: 0.500 0.500 0.000

Results
N(E_F)	3.5	states/eV/f.u.
offset from the most stable computed form	0.60	eV/f.u.
formation energy from raw total energies	1.317	eV/atom

=====

Computed, not measured: a relaxed structure of BAsWSe2 at the PBE level of DFT.

abc: 4.403 4.403 4.282
angles: 90.00 90.00 90.00
Fractional positions:
B: 0.000 0.000 0.000
As: 0.000 0.000 0.500
W: 0.500 0.500 0.500
Se: 0.000 0.500 0.000
Se: 0.500 0.000 0.000

Results
N(E_F)	2.4	states/eV/f.u.
offset from the most stable computed form	0.00	eV/f.u.
formation energy from raw total energies	1.147	eV/atom

=====

Computed, not measured: a relaxed structure of BAsWSe2 at the PBE level of DFT.

abc: 4.923 4.923 4.931
angles: 90.00 90.00 90.00
Fractional positions:
B: 0.000 0.000 0.000
As: 0.500 0.500 0.000
W: 0.500 0.500 0.500
Se: 0.000 0.500 0.500
Se: 0.500 0.000 0.500

Results
N(E_F)	4.0	states/eV/f.u.
offset from the most stable computed form	0.49	eV/f.u.
formation energy from raw total energies	1.244	eV/atom

=====

Computed, not measured: a relaxed structure of YBAs2Se at the PBE level of DFT.

abc: 4.516 4.516 4.645
angles: 90.00 90.00 90.00
Fractional positions:
Y: 0.000 0.000 0.000
B: 0.500 0.500 0.500
As: 0.000 0.500 0.500
As: 0.500 0.000 0.500
Se: 0.500 0.500 0.000

Results
N(E_F)	3.6	states/eV/f.u.
offset from the most stable computed form	0.00	eV/f.u.
formation energy from raw total energies	0.039	eV/atom

=====

Computed, not measured: a relaxed structure of YBAs2Se at the PBE level of DFT.

abc: 5.449 5.449 5.416
angles: 90.00 90.00 90.00
Fractional positions:
Y: 0.000 0.000 0.000
B: 0.500 0.500 0.500
As: 0.000 0.500 0.000
As: 0.500 0.000 0.000
Se: 0.000 0.000 0.500

Results
N(E_F)	4.7	states/eV/f.u.
offset from the most stable computed form	5.36	eV/f.u.
formation energy from raw total energies	1.112	eV/atom

=====

Computed, not measured: a relaxed structure of ZnBAs2Se at the PBE level of DFT.

abc: 4.469 4.469 4.455
angles: 90.00 90.00 90.00
Fractional positions:
Zn: 0.000 0.000 0.000
B: 0.500 0.500 0.500
As: 0.000 0.500 0.500
As: 0.500 0.000 0.500
Se: 0.500 0.500 0.000

Results
N(E_F)	3.9	states/eV/f.u.
offset from the most stable computed form	0.00	eV/f.u.
formation energy from raw total energies	0.758	eV/atom

=====

Computed, not measured: a relaxed structure of ZnBAsSe2 at the PBE level of DFT.

abc: 4.995 4.995 4.697
angles: 90.00 90.00 90.00
Fractional positions:
Zn: 0.000 0.000 0.000
B: 0.500 0.500 0.500
As: 0.000 0.000 0.500
Se: 0.000 0.500 0.000
Se: 0.500 0.000 0.000

Results
N(E_F)	3.2	states/eV/f.u.
offset from the most stable computed form	3.29	eV/f.u.
formation energy from raw total energies	1.347	eV/atom